Here is crystalline Sr2HBr at its relaxed geometry from Alexandria via LeMat-Bulk. Energies are from PBE.

Unit cell a=7.589 b=7.589 c=8.324 alpha=90.00 beta=90.00 gamma=90.00
Space group I-42d (No. 122)
One atom of each set of equivalent atoms:
Sr1 0.179 0.750 0.125 [8 per cell]
H1 0.000 0.000 0.000 [4 per cell]
Br1 0.000 0.000 0.500 [4 per cell]

E_tot (eV per atom): -2.856

***

Here is crystalline K2Mg at its relaxed geometry from Alexandria via LeMat-Bulk. Energies are from PBE.

Unit cell a=13.998 b=4.680 c=10.308 alpha=90.00 beta=110.89 gamma=90.00
Space group C2/m (No. 12)
One atom of each set of equivalent atoms:
K1 0.016 0.000 0.194 [4 per cell]
K2 0.170 0.500 0.632 [4 per cell]
Mg1 0.202 0.500 0.049 [4 per cell]

Energy of formation from the pure elements (meV/atom): 139

***

Here is crystalline Al2CdGe2 at its relaxed geometry from Alexandria via LeMat-Bulk. Energies are from PBE.

Unit cell a=7.642 b=7.642 c=3.304 alpha=90.00 beta=90.00 gamma=90.00
Space group P4/mbm (No. 127)
One atom of each set of equivalent atoms:
Al1 0.131 0.369 0.000 [4 per cell]
Cd1 0.000 0.000 0.000 [2 per cell]
Ge1 0.163 0.663 0.500 [4 per cell]

Energy of formation from the pure elements (meV/atom): 178

***

Here is crystalline AcNd12Dy2 at its relaxed geometry from Alexandria via LeMat-Bulk. Energies are from PBE.

Unit cell a=7.227 b=11.721 c=25.387 alpha=90.00 beta=90.00 gamma=90.00
Space group Cmme (No. 67)
One atom of each set of equivalent atoms:
Ac1 0.000 0.250 0.014 [4 per cell]
Nd1 0.000 0.023 0.920 [8 per cell]
Nd2 0.000 0.024 0.441 [8 per cell]
Nd3 0.231 0.250 0.583 [8 per cell]
Nd4 0.240 0.250 0.141 [8 per cell]
Nd5 0.250 0.000 0.203 [8 per cell]
Nd6 0.250 0.000 0.327 [8 per cell]
Dy1 0.000 0.250 0.276 [4 per cell]
Dy2 0.000 0.250 0.729 [4 per cell]

Energy of formation from the pure elements (meV/atom): 157